First-principles (GGA-PBE) data for an optimized crystal structure of La3Dy3HoTe8, as listed in Alexandria via LeMat-Bulk.

Electronic total energy ... -5.356 eV/atom
Crystal system ... trigonal

CIF file:
```
data_La3Dy3HoTe8
_space_group_name_H-M_alt 'R -3 m'
_space_group_IT_number 166
_space_group_name_Hall '-R 3 2"'
_cell_length_a 8.8409
_cell_length_b 8.8409
_cell_length_c 22.0455
_cell_angle_alpha 90.00
_cell_angle_beta 90.00
_cell_angle_gamma 120.00
loop_
_atom_site_label
_atom_site_fract_x
_atom_site_fract_y
_atom_site_fract_z
La1 0.0000 0.5000 0.0000
Dy1 0.0000 0.5000 0.5000
Ho1 0.0000 0.0000 0.5000
Te1 0.0000 0.0000 0.2447
Te2 0.0067 0.5033 0.7538
```

First-principles (GGA-PBE) data for an optimized crystal structure of PIrSeO2, as listed in Alexandria via LeMat-Bulk.

Distance to the lowest polymorph of the same formula ... 0 meV/atom
Crystal system ... tetragonal

CIF file:
```
data_PIrSeO2
_space_group_name_H-M_alt 'P 4/m m m'
_space_group_IT_number 123
_space_group_name_Hall '-P 4 2'
_cell_length_a 3.7284
_cell_length_b 3.7284
_cell_length_c 5.5246
_cell_angle_alpha 90.00
_cell_angle_beta 90.00
_cell_angle_gamma 90.00
loop_
_atom_site_label
_atom_site_fract_x
_atom_site_fract_y
_atom_site_fract_z
P1 0.0000 0.0000 0.0000
Ir1 0.0000 0.0000 0.5000
Se1 0.5000 0.5000 0.0000
O1 0.0000 0.5000 0.5000
```

Going through the records in order, we get calculated density values of 7.0; 7.2 Mg/m³.
Going through the records in order, we get D(E_F) values of 23.52; 3.10 states/eV per cell.